Record 1
Material: Be2TcAg
Method: DFT, GGA-PBE
State: optimized geometry

The distance to the lowest polymorph of the same formula comes out at 52 meV per atom.

The structure belongs to space group Cmmm (No. 65); the cell edges are 3.2868, 4.1786 and 7.2381 Å and the angles 90.00°, 90.00° and 90.00°. The asymmetric unit holds Be at (0.0000, 0.0000, 0.2376), Tc at (0.0000, 0.5000, 0.0000) and Ag at (0.0000, 0.5000, 0.5000).

Record 2
Material: Rb6Ga
Method: DFT, GGA-PBE
State: optimized geometry

The structure belongs to space group Im-3m (No. 229); the cell edges are 12.1750, 12.1750 and 12.1750 Å and the angles 90.00°, 90.00° and 90.00°. The asymmetric unit holds Rb at (0.0000, 0.2500, 0.5000) and Ga at (0.0000, 0.0000, 0.0000).

Record 3
Material: Tb5PdAu4
Method: DFT, GGA-PBE
State: optimized geometry

The structure belongs to space group P4/mmm (No. 123); the cell edges are 3.5807, 3.5807 and 18.1597 Å and the angles 90.00°, 90.00° and 90.00°. The asymmetric unit holds Tb at (0.0000, 0.0000, 0.0000), Tb at (0.0000, 0.0000, 0.2024), Tb at (0.0000, 0.0000, 0.4043), Pd at (0.5000, 0.5000, 0.5000), Au at (0.5000, 0.5000, 0.1013) and Au at (0.5000, 0.5000, 0.3032).

Record 4
Material: Pm6Si2PdBr3
Method: DFT, GGA-PBE
State: optimized geometry

For the formation energy from raw total energies, the calculation gives -1023 meV per atom.

The structure belongs to space group C2/m (No. 12); the cell edges are 18.9177, 4.1763 and 8.8582 Å and the angles 90.00°, 104.48° and 90.00°. The asymmetric unit holds Pm at (0.0095, 0.0000, 0.2271), Pm at (0.1608, 0.5000, 0.1089), Pm at (0.1752, 0.5000, 0.5650), Si at (0.1665, 0.0000, 0.3364), Pd at (0.0000, 0.5000, 0.0000), Br at (0.0000, 0.5000, 0.5000) and Br at (0.1695, 0.0000, 0.8330).

Record 5
Material: SrTaS3
Method: DFT, GGA-PBE
State: optimized geometry

For the formation energy from raw total energies, the calculation gives -1316 meV per atom.

The structure belongs to space group Pm-3m (No. 221); the cell edges are 4.8326, 4.8326 and 4.8326 Å and the angles 90.00°, 90.00° and 90.00°. The asymmetric unit holds Sr at (0.0000, 0.0000, 0.0000), Ta at (0.5000, 0.5000, 0.5000) and S at (0.0000, 0.5000, 0.5000).

Record 6
Material: InCu2Os
Method: DFT, GGA-PBE
State: optimized geometry

The structure belongs to space group R-3m (No. 166, hexagonal axes); the cell edges are 2.8188, 2.8188 and 26.5387 Å and the angles 90.00°, 90.00° and 120.00°. The asymmetric unit holds In at (0.0000, 0.0000, 0.0000), Cu at (0.0000, 0.0000, 0.2455) and Os at (0.0000, 0.0000, 0.5000).

Record 7
Material: LaYBr2
Method: DFT, GGA-PBE
State: optimized geometry

For the formation energy from raw total energies, the calculation gives -1030 meV per atom. The distance to the lowest polymorph of the same formula comes out at 190 meV per atom.

The structure belongs to space group Immm (No. 71); the cell edges are 3.6490, 6.5711 and 9.9165 Å and the angles 90.00°, 90.00° and 90.00°. The asymmetric unit holds La at (0.0000, 0.0000, 0.0000), Y at (0.0000, 0.0000, 0.5000) and Br at (0.0000, 0.5000, 0.2400).

Record 8
Material: Ge3PdF
Method: DFT, GGA-PBE
State: optimized geometry

For the formation energy from raw total energies, the calculation gives -12 meV per atom. The distance to the lowest polymorph of the same formula comes out at 0 meV per atom.

The structure belongs to space group Pm-3m (No. 221); the cell edges are 4.4913, 4.4913 and 4.4913 Å and the angles 90.00°, 90.00° and 90.00°. The asymmetric unit holds Ge at (0.0000, 0.0000, 0.5000), Pd at (0.5000, 0.5000, 0.5000) and F at (0.0000, 0.0000, 0.0000).

Record 9
Material: MnNiRuN2
Method: DFT, GGA-PBE
State: optimized geometry

For the formation energy from raw total energies, the calculation gives 1812 meV per atom.

The structure belongs to space group P4/mmm (No. 123); the cell edges are 3.5074, 3.5074 and 5.0357 Å and the angles 90.00°, 90.00° and 90.00°. The asymmetric unit holds Mn at (0.0000, 0.0000, 0.0000), Ni at (0.5000, 0.5000, 0.5000), Ru at (0.5000, 0.5000, 0.0000) and N at (0.0000, 0.5000, 0.5000).

Record 10
Material: Rb2Sc2GeS6
Method: DFT, GGA-PBE
State: optimized geometry

For the formation energy from raw total energies, the calculation gives -1299 meV per atom.

The structure belongs to space group C2/m (No. 12); the cell edges are 6.4612, 11.1803 and 8.1709 Å and the angles 90.00°, 106.15° and 90.00°. The asymmetric unit holds Rb at (0.0000, 0.1706, 0.0000), Sc at (0.0000, 0.3317, 0.5000), Ge at (0.0000, 0.0000, 0.5000), S at (0.2223, 0.1579, 0.6773) and S at (0.2482, 0.5000, 0.6734).

Record 11
Material: Al2Cu2Ni7
Method: DFT, GGA-PBE
State: optimized geometry

The structure belongs to space group C2/m (No. 12); the cell edges are 9.3061, 7.5470 and 4.3272 Å and the angles 90.00°, 117.46° and 90.00°. The asymmetric unit holds Al at (0.0000, 0.2008, 0.0000), Cu at (0.2330, 0.0000, 0.2338), Ni at (0.0000, 0.0000, 0.5000), Ni at (0.9998, 0.5000, 0.2490) and Ni at (0.2385, 0.1706, 0.7388).

Record 12
Material: Nd3SmTe2
Method: DFT, GGA-PBE
State: optimized geometry

For the formation energy from raw total energies, the calculation gives -839 meV per atom.

The structure belongs to space group C2/m (No. 12); the cell edges are 19.0431, 4.1960 and 10.6032 Å and the angles 90.00°, 117.07° and 90.00°. The asymmetric unit holds Nd at (0.0477, 0.0000, 0.1617), Nd at (0.1512, 0.5000, 0.9747), Nd at (0.1871, 0.5000, 0.3868), Sm at (0.1070, 0.0000, 0.6084), Te at (0.0066, 0.5000, 0.3434) and Te at (0.2456, 0.5000, 0.7699).

Record 13
Material: CaH2Pd
Method: DFT, GGA-PBE
State: optimized geometry

The distance to the lowest polymorph of the same formula comes out at 45 meV per atom.

The structure belongs to space group Pna2_1 (No. 33); the cell edges are 6.7615, 6.4562 and 4.9903 Å and the angles 90.00°, 90.00° and 90.00°. The asymmetric unit holds Ca at (0.1929, 0.1362, 0.0000), H at (0.0215, 0.4334, 0.8002), H at (0.0949, 0.8497, 0.7511) and Pd at (0.0358, 0.6824, 0.0016).

Number 1: final energy -5.05 eV/atom. Number 2: final energy -0.70 eV/atom. Number 3: final energy -5.00 eV/atom. Number 4: final energy -5.15 eV/atom. Number 5: final energy -6.50 eV/atom. Number 6: final energy -5.08 eV/atom. Number 7: final energy -4.71 eV/atom. Number 8: final energy -4.20 eV/atom. Number 9: final energy -6.36 eV/atom. Number 10: final energy -5.30 eV/atom. Number 11: final energy -5.11 eV/atom. Number 12: final energy -5.06 eV/atom. Number 13: final energy -4.01 eV/atom.